No. 1
An optimized crystal structure of TiW3C. Source: Alexandria, functional GGA-PBEsol. Values from VASP.

Structure (Quantum ESPRESSO input):
```
&SYSTEM
  ibrav = 0, nat = 5, ntyp = 3
/
ATOMIC_SPECIES
C 12.01 C.upf
W 183.84 W.upf
Ti 47.87 Ti.upf
ATOMIC_POSITIONS angstrom
C 0.000 0.000 0.000
W 0.000 2.072 0.000
W 0.000 0.000 2.072
W 2.072 0.000 0.000
Ti 2.072 2.072 2.072
CELL_PARAMETERS angstrom
4.143 0.000 0.000
0.000 4.143 0.000
0.000 0.000 4.143
```

Summary:
- Fermi-level density of states: 0.88 states/eV/atom
- Density: 14.3 g cm⁻³
- Spin magnetization: 0.00 μB per formula unit
- Energy relative to the lowest polymorph listed for this composition: 0.0000 eV/atom
- Final energy: -11.797 eV per atom
- ΔH_f (0 K): 80.3 meV per atom

---

No. 2
An optimized crystal structure of NbSi2SeBr. Source: Alexandria, functional GGA-PBEsol. Values from VASP.

Structure (Quantum ESPRESSO input):
```
&SYSTEM
  ibrav = 0, nat = 5, ntyp = 4
/
ATOMIC_SPECIES
Nb 92.91 Nb.upf
Si 28.09 Si.upf
Se 78.96 Se.upf
Br 79.90 Br.upf
ATOMIC_POSITIONS angstrom
Nb -0.134 -2.230 0.866
Si -1.503 0.782 1.780
Si 1.939 0.444 1.443
Se 0.302 -1.005 4.089
Br 0.000 0.000 0.000
CELL_PARAMETERS angstrom
-0.268 -4.461 1.732
3.879 0.887 2.886
-3.006 1.563 3.560
```

Summary:
- Fermi-level density of states: 0.77 states/eV/atom
- Uncorrected formation energy: 1.414 eV per atom
- Density: 4.4 g cm⁻³
- Spin magnetization: 1.17 μB per formula unit
- Final energy: -4.193 eV per atom

---

No. 3
An optimized crystal structure of SnP3Rh. Source: Alexandria, functional GGA-PBEsol. Values from VASP.

Structure (Quantum ESPRESSO input):
```
&SYSTEM
  ibrav = 0, nat = 5, ntyp = 3
/
ATOMIC_SPECIES
P 30.97 P.upf
Rh 102.91 Rh.upf
Sn 118.71 Sn.upf
ATOMIC_POSITIONS angstrom
P 0.000 2.413 0.000
P 0.000 0.000 2.413
P 2.413 0.000 0.000
Rh 2.413 2.413 2.413
Sn 0.000 0.000 0.000
CELL_PARAMETERS angstrom
4.825 0.000 0.000
0.000 4.825 0.000
0.000 0.000 4.825
```

Summary:
- Fermi-level density of states: 0.72 states/eV/atom
- Density: 4.6 g cm⁻³
- Spin magnetization: 0.00 μB per formula unit
- Final energy: -4.282 eV per atom
- ΔH_f (0 K): 1672.7 meV per atom

---

No. 4
An optimized crystal structure of Mo2P3O13. Source: Alexandria, functional GGA-PBEsol. Values from VASP.

Structure (Quantum ESPRESSO input):
```
&SYSTEM
  ibrav = 0, nat = 36, ntyp = 3
/
ATOMIC_SPECIES
Mo 95.94 Mo.upf
P 30.97 P.upf
O 16.00 O.upf
ATOMIC_POSITIONS angstrom
Mo 3.121 6.405 1.377
Mo -1.366 2.202 1.377
Mo 4.462 2.089 6.039
Mo -0.025 -2.113 6.039
P 3.989 4.721 4.232
P 5.330 0.405 3.184
P -2.234 3.886 4.233
P -0.893 -0.429 3.184
P 2.218 -0.012 7.307
P 0.878 4.303 0.110
O 6.418 3.678 0.765
O 3.008 5.243 3.238
O -1.114 -0.589 6.651
O 4.812 7.111 2.156
O 0.088 -0.952 4.178
O 4.210 4.881 0.765
O -1.716 -2.820 5.260
O 2.835 1.085 6.420
O 2.994 1.325 0.040
O 3.509 3.453 4.977
O 4.349 0.927 4.178
O -1.239 7.283 0.040
O 4.849 -0.862 2.440
O 1.602 -1.109 6.420
O 5.315 4.279 3.427
O 0.101 2.967 7.376
O 5.817 1.447 2.156
O -2.721 2.844 5.261
O 0.261 3.206 0.996
O -2.218 0.012 3.989
O 1.494 5.401 0.997
O -1.753 5.153 4.977
O 4.334 -2.991 7.376
O -1.253 3.364 3.239
O -0.413 0.838 2.440
O -3.323 0.614 6.652
CELL_PARAMETERS angstrom
8.873 -0.048 0.000
-2.681 8.631 0.000
-3.096 -4.291 7.417
```

Summary:
- Fermi-level density of states: 0.15 states/eV/atom
- Uncorrected formation energy: -2.064 eV per atom
- Density: 2.9 g cm⁻³
- Spin magnetization: 1.02 μB per formula unit
- Energy relative to the lowest polymorph listed for this composition: 0.0148 eV/atom
- Final energy: -8.127 eV per atom

---

No. 5
An optimized crystal structure of ScAg5. Source: Alexandria, functional GGA-PBEsol. Values from VASP.

Structure (Quantum ESPRESSO input):
```
&SYSTEM
  ibrav = 0, nat = 6, ntyp = 2
/
ATOMIC_SPECIES
Sc 44.96 Sc.upf
Ag 107.87 Ag.upf
ATOMIC_POSITIONS angstrom
Sc 0.000 0.000 0.000
Ag 2.026 2.079 4.068
Ag 0.000 2.079 2.042
Ag 2.026 2.079 0.000
Ag 0.000 4.158 4.094
Ag 2.026 4.158 2.067
CELL_PARAMETERS angstrom
4.051 0.000 0.000
0.000 4.158 0.000
0.000 2.079 6.135
```

Summary:
- Fermi-level density of states: 0.43 states/eV/atom
- Density: 9.4 g cm⁻³
- Spin magnetization: 0.00 μB per formula unit
- Final energy: -3.982 eV per atom
- ΔH_f (0 K): -121.3 meV per atom

---

No. 6
An optimized crystal structure of BePPb2. Source: Alexandria, functional GGA-PBEsol. Values from VASP.

Structure (Quantum ESPRESSO input):
```
&SYSTEM
  ibrav = 0, nat = 4, ntyp = 3
/
ATOMIC_SPECIES
Pb 207.20 Pb.upf
P 30.97 P.upf
Be 9.01 Be.upf
ATOMIC_POSITIONS angstrom
Pb 0.000 -0.808 8.168
Pb 1.786 2.102 2.491
P 0.000 -0.879 5.400
Be 0.000 1.180 5.304
CELL_PARAMETERS angstrom
3.572 0.000 0.000
-1.786 3.089 -0.149
0.000 -1.833 8.664
```

Summary:
- Fermi-level density of states: 0.30 states/eV/atom
- Density: 8.0 g cm⁻³
- Spin magnetization: 0.00 μB per formula unit
- Energy relative to the lowest polymorph listed for this composition: 0.0000 eV/atom
- Final energy: -4.479 eV per atom
- ΔH_f (0 K): -31.8 meV per atom

---

No. 7
An optimized crystal structure of LaSb12Ru4. Source: Alexandria, functional GGA-PBEsol. Values from VASP.

Structure (Quantum ESPRESSO input):
```
&SYSTEM
  ibrav = 0, nat = 17, ntyp = 3
/
ATOMIC_SPECIES
La 138.91 La.upf
Sb 121.76 Sb.upf
Ru 101.07 Ru.upf
ATOMIC_POSITIONS angstrom
La 0.000 0.000 0.000
Sb -4.117 -1.292 3.872
Sb -1.325 -3.219 -0.078
Sb -1.227 -6.159 0.170
Sb -4.214 1.649 3.624
Sb 0.838 -4.302 3.795
Sb -6.279 -0.209 -0.001
Sb -3.412 -0.055 0.689
Sb -2.029 -4.455 3.105
Sb -0.699 -1.232 3.180
Sb -4.742 -3.278 0.614
Sb -4.042 -3.497 -2.246
Sb -1.399 -1.014 6.040
Ru -1.623 -2.598 -2.589
Ru -2.721 -2.255 1.897
Ru 1.776 -2.014 2.979
Ru -2.874 2.357 1.507
CELL_PARAMETERS angstrom
-5.748 4.714 3.014
-3.246 -5.196 -5.178
3.552 -4.029 5.958
```

Summary:
- Fermi-level density of states: 0.58 states/eV/atom
- Uncorrected formation energy: -0.379 eV per atom
- Density: 8.4 g cm⁻³
- Spin magnetization: 0.00 μB per formula unit
- Final energy: -6.304 eV per atom

---

No. 8
An optimized crystal structure of Ba2NiPb. Source: Alexandria, functional GGA-PBEsol. Values from VASP.

Structure (Quantum ESPRESSO input):
```
&SYSTEM
  ibrav = 0, nat = 4, ntyp = 3
/
ATOMIC_SPECIES
Ba 137.33 Ba.upf
Ni 58.69 Ni.upf
Pb 207.20 Pb.upf
ATOMIC_POSITIONS angstrom
Ba -2.523 -1.041 -0.804
Ba -0.225 -1.340 2.500
Ni -0.914 1.611 0.781
Pb -3.662 -0.770 2.477
CELL_PARAMETERS angstrom
-1.827 3.222 1.563
-5.046 -2.082 -1.608
-0.450 -2.680 5.000
```

Summary:
- Fermi-level density of states: 0.79 states/eV/atom
- Density: 6.9 g cm⁻³
- Spin magnetization: 0.00 μB per formula unit
- Final energy: -3.597 eV per atom
- ΔH_f (0 K): 16.4 meV per atom

---

No. 9
An optimized crystal structure of Sr2SbH2. Source: Alexandria, functional GGA-PBEsol. Values from VASP.

Structure (Quantum ESPRESSO input):
```
&SYSTEM
  ibrav = 0, nat = 5, ntyp = 3
/
ATOMIC_SPECIES
Sb 121.76 Sb.upf
Sr 87.62 Sr.upf
H 1.01 H.upf
ATOMIC_POSITIONS angstrom
Sb 0.000 0.000 0.000
Sr -2.986 3.643 -1.267
Sr -3.106 -0.296 -1.554
H -3.665 1.601 -0.160
H -2.427 1.746 -2.661
CELL_PARAMETERS angstrom
-0.592 -1.707 -3.514
-3.068 -1.997 1.487
-2.431 7.051 -0.795
```

Summary:
- Fermi-level density of states: 0.16 states/eV/atom
- Density: 4.6 g cm⁻³
- Spin magnetization: 0.00 μB per formula unit
- Final energy: -3.697 eV per atom

---

No. 10
An optimized crystal structure of LiYAu3. Source: Alexandria, functional GGA-PBEsol. Values from VASP.

Structure (Quantum ESPRESSO input):
```
&SYSTEM
  ibrav = 0, nat = 5, ntyp = 3
/
ATOMIC_SPECIES
Y 88.91 Y.upf
Au 196.97 Au.upf
Li 6.94 Li.upf
ATOMIC_POSITIONS angstrom
Y 2.266 2.266 2.266
Au 0.000 2.266 0.000
Au 0.000 0.000 2.266
Au 2.266 0.000 0.000
Li 0.000 0.000 0.000
CELL_PARAMETERS angstrom
4.532 0.000 0.000
0.000 4.532 0.000
0.000 0.000 4.532
```

Summary:
- Fermi-level density of states: 0.36 states/eV/atom
- Density: 12.3 g cm⁻³
- Spin magnetization: 0.00 μB per formula unit
- Final energy: -4.476 eV per atom
- ΔH_f (0 K): -363.7 meV per atom

---

No. 11
An optimized crystal structure of CdRe2Si2. Source: Alexandria, functional GGA-PBEsol. Values from VASP.

Structure (Quantum ESPRESSO input):
```
&SYSTEM
  ibrav = 0, nat = 5, ntyp = 3
/
ATOMIC_SPECIES
Cd 112.41 Cd.upf
Re 186.21 Re.upf
Si 28.09 Si.upf
ATOMIC_POSITIONS angstrom
Cd 0.000 0.000 0.000
Re 0.000 2.036 2.462
Re 2.036 0.000 2.462
Si 2.036 2.036 1.145
Si 0.000 0.000 3.780
CELL_PARAMETERS angstrom
4.071 0.000 0.000
0.000 4.071 0.000
-2.036 -2.036 4.925
```

Summary:
- Fermi-level density of states: 0.60 states/eV/atom
- Uncorrected formation energy: 0.141 eV per atom
- Density: 11.0 g cm⁻³
- Spin magnetization: 0.00 μB per formula unit
- Final energy: -7.730 eV per atom

---

No. 12
An optimized crystal structure of Ca2GePd2. Source: Alexandria, functional GGA-PBEsol. Values from VASP.

Structure (Quantum ESPRESSO input):
```
&SYSTEM
  ibrav = 0, nat = 10, ntyp = 3
/
ATOMIC_SPECIES
Ca 40.08 Ca.upf
Ge 72.64 Ge.upf
Pd 106.42 Pd.upf
ATOMIC_POSITIONS angstrom
Ca -1.344 -0.622 -1.301
Ca -7.148 -3.003 0.314
Ca -5.137 0.116 0.265
Ca -4.582 -1.749 -2.723
Ge -6.064 1.139 -2.674
Ge -1.577 2.562 -1.892
Pd -3.599 1.156 -2.205
Pd -7.346 -0.797 -1.725
Pd -4.958 -2.154 2.235
Pd -4.760 0.520 -4.693
CELL_PARAMETERS angstrom
-2.453 3.985 -2.943
-2.270 -1.259 -5.003
-5.475 -3.578 4.912
```

Summary:
- Fermi-level density of states: 0.27 states/eV/atom
- Density: 5.8 g cm⁻³
- Spin magnetization: 0.00 μB per formula unit
- Final energy: -5.012 eV per atom
- ΔH_f (0 K): -787.9 meV per atom

---

No. 13
An optimized crystal structure of NiAgSe2. Source: Alexandria, functional GGA-PBEsol. Values from VASP.

Structure (Quantum ESPRESSO input):
```
&SYSTEM
  ibrav = 0, nat = 4, ntyp = 3
/
ATOMIC_SPECIES
Ni 58.69 Ni.upf
Ag 107.87 Ag.upf
Se 78.96 Se.upf
ATOMIC_POSITIONS angstrom
Ni 1.790 1.033 6.705
Ag 5.369 3.100 3.010
Se 5.369 3.100 5.514
Se 1.790 1.033 1.212
CELL_PARAMETERS angstrom
3.579 0.000 0.000
1.790 3.100 0.000
1.790 1.033 6.760
```

Summary:
- Fermi-level density of states: 0.62 states/eV/atom
- Uncorrected formation energy: -0.142 eV per atom
- Density: 7.2 g cm⁻³
- Spin magnetization: 0.00 μB per formula unit
- Energy relative to the lowest polymorph listed for this composition: 0.0249 eV/atom
- Final energy: -4.435 eV per atom